Entry 1:
Computed, not measured: crystalline K3TaTi at its relaxed geometry at the PBE level of DFT.

abc: 6.457 6.457 6.457
angles: 90.00 90.00 90.00
Last column: magnetic moment on the atom in μB.
Atoms (fractional coordinates):
K (0.000, 0.500, 0.000)  0.04
K (0.000, 0.000, 0.500)  0.04
K (0.500, 0.000, 0.000)  0.04
Ti (0.000, 0.000, 0.000)  2.21
Ta (0.500, 0.500, 0.500)  2.35

Results
- symmetry = Pm-3m, No. 221
- energy relative to the lowest polymorph listed for this composition (meV per atom) = 102.6

Entry 2:
Computed, not measured: crystalline KTa3Ti at its relaxed geometry at the PBE level of DFT.

abc: 4.922 4.922 4.922
angles: 90.00 90.00 90.00
Atoms (fractional coordinates):
K (0.500, 0.500, 0.500)
Ti (0.000, 0.000, 0.000)
Ta (0.000, 0.500, 0.000)
Ta (0.000, 0.000, 0.500)
Ta (0.500, 0.000, 0.000)

Results
- symmetry = Pm-3m, No. 221
- energy relative to the lowest polymorph listed for this composition (meV per atom) = 0.0

Entry 3:
Computed, not measured: crystalline KTa2Tl at its relaxed geometry at the PBE level of DFT.

abc: 5.268 4.198 4.198
angles: 90.00 90.00 90.00
Atoms (fractional coordinates):
K (0.500, 0.000, 0.500)
Ta (0.000, 0.000, 0.000)
Ta (0.000, 0.500, 0.500)
Tl (0.500, 0.500, 0.000)

Results
- symmetry = P4/mmm, No. 123
- energy relative to the lowest polymorph listed for this composition (meV per atom) = 828.5

Entry 4:
Computed, not measured: crystalline K4TaTl at its relaxed geometry at the PBE level of DFT.

abc: 7.020 7.020 7.020
angles: 60.00 60.00 60.00
Last column: magnetic moment on the atom in μB.
Atoms (fractional coordinates):
K (0.874, 0.375, 0.375)  0.02
K (0.375, 0.375, 0.874)  0.02
K (0.375, 0.874, 0.375)  0.02
K (0.375, 0.375, 0.375)  0.02
Ta (0.750, 0.750, 0.750)  2.28
Tl (0.000, 0.000, 0.000)  -0.05

Results
- DFT total energy (eV per atom) = -1.973
- symmetry = F-43m, No. 216

Entry 5:
Computed, not measured: crystalline KTa2Tl at its relaxed geometry at the PBE level of DFT.

abc: 4.906 4.906 8.012
angles: 86.23 86.23 34.59
Atoms (fractional coordinates):
K (0.246, 0.246, 0.247)
Ta (0.017, 0.017, 0.913)
Ta (0.746, 0.746, 0.781)
Tl (0.490, 0.490, 0.559)

Results
- symmetry = Cm, No. 8
- energy relative to the lowest polymorph listed for this composition (meV per atom) = 290.6

Entry 6:
Computed, not measured: crystalline KTa2Tl at its relaxed geometry at the PBE level of DFT.

abc: 4.962 4.962 4.962
angles: 60.00 60.00 60.00
Atoms (fractional coordinates):
Tl (0.500, 0.500, 0.500)
K (0.000, 0.000, 0.000)
Ta (0.250, 0.250, 0.250)
Ta (0.750, 0.750, 0.750)

Results
- symmetry = Fm-3m, No. 225
- energy relative to the lowest polymorph listed for this composition (meV per atom) = 1086.5